[1]
Below is a geometry-optimized Rb2UAlSe5 structure, with properties calculated at the PBE level.

Unit cell a=10.2399 b=10.2399 c=14.8382 alpha=90.00 beta=90.00 gamma=156.51
Closest atoms and distances in Å follow each position.
Fractional coordinates of all 18 atoms:
Rb: 0.1167 0.8833 0.5000  5 Se 3.43-3.70
Rb: 0.1233 0.8767 0.1444  6 Se 3.41-3.71
Rb: 0.8767 0.1233 0.6444  6 Se 3.41-3.71
Rb: 0.8833 0.1167 0.0000  5 Se 3.43-3.70
U: 0.2030 0.7970 0.8435  6 Se 2.59-2.88
U: 0.7970 0.2030 0.3435  6 Se 2.59-2.88
Al: 0.4301 0.5699 0.2406  4 Se 2.28-2.55
Al: 0.5699 0.4301 0.7406  4 Se 2.28-2.55
Se: 0.0597 0.9403 0.8385  2 Al 2.55
Se: 0.2996 0.7004 0.4661  2 U 2.77
Se: 0.3084 0.6916 0.2115  1 Al 2.48
Se: 0.3315 0.6685 0.8251  1 U 2.59
Se: 0.4913 0.5087 0.1108  1 Al 2.28
Se: 0.5087 0.4913 0.6108  1 Al 2.28
Se: 0.6685 0.3315 0.3251  1 U 2.59
Se: 0.6916 0.3084 0.7115  1 Al 2.48
Se: 0.7004 0.2996 0.9661  2 U 2.77
Se: 0.9403 0.0597 0.3385  2 Al 2.55

Results
Size of the total moment = 1.05 μB/f.u.
Calculated total energy = -0.3620 Ry/atom

***

[2]
Below is a geometry-optimized RbUAlSe4 structure, with properties calculated at the PBE level.

Unit cell a=6.7369 b=7.0127 c=9.5619 alpha=90.00 beta=109.01 gamma=90.00
Closest atoms and distances in Å follow each position.
Fractional coordinates of all 14 atoms:
Rb: 0.2474 0.2500 0.4453  4 Se 3.35-3.71
Rb: 0.7526 0.7500 0.5547  4 Se 3.35-3.71
U: 0.2770 0.2500 0.9495  6 Se 2.83-2.95
U: 0.7230 0.7500 0.0505  6 Se 2.83-2.95
Al: 0.2688 0.7500 0.1617  4 Se 2.36-2.41
Al: 0.7312 0.2500 0.8383  4 Se 2.36-2.41
Se: 0.0378 0.7500 0.9146  1 Al 2.37
Se: 0.0676 0.7500 0.3233  1 Al 2.36
Se: 0.4826 0.5087 0.7995  1 Al 2.41
Se: 0.4826 0.9913 0.7995  1 Al 2.41
Se: 0.5174 0.0087 0.2005  1 Al 2.41
Se: 0.5174 0.4913 0.2005  1 Al 2.41
Se: 0.9324 0.2500 0.6767  1 Al 2.36
Se: 0.9622 0.2500 0.0854  1 Al 2.37

Results
Size of the total moment = 2.00 μB/f.u.
Calculated total energy = -0.3958 Ry/atom

***

[3]
Below is a geometry-optimized Rb2UAlSe4 structure, with properties calculated at the PBE level.

Unit cell a=14.9386 b=13.4042 c=8.0354 alpha=84.38 beta=63.25 gamma=32.37
Closest atoms and distances in Å follow each position.
Fractional coordinates of all 16 atoms:
Rb: 0.0562 0.0562 0.6938  8 Se 3.74-4.13
Rb: 0.3062 0.3062 0.9438  8 Se 3.74-4.13
Rb: 0.6938 0.6938 0.0562  8 Se 3.74-4.13
Rb: 0.9438 0.9438 0.3062  8 Se 3.74-4.13
U: 0.1250 0.1250 0.1250  4 Se 2.75
U: 0.8750 0.8750 0.8750  4 Se 2.75
Al: 0.3750 0.3750 0.3750  4 Se 2.46
Al: 0.6250 0.6250 0.6250  4 Se 2.46
Se: 0.0071 0.6376 0.5395  1 Al 2.46
Se: 0.3157 0.5395 0.6376  1 Al 2.46
Se: 0.3624 0.9929 0.6843  1 Al 2.46
Se: 0.4605 0.6843 0.9929  1 Al 2.46
Se: 0.5395 0.3157 0.0071  1 Al 2.46
Se: 0.6376 0.0071 0.3157  1 Al 2.46
Se: 0.6843 0.4605 0.3624  1 Al 2.46
Se: 0.9929 0.3624 0.4605  1 Al 2.46

Results
Size of the total moment = 2.99 μB/f.u.
Calculated total energy = -0.3570 Ry/atom

***

[4]
Below is a geometry-optimized Rb2AlVSe4 structure, with properties calculated at the PBE level.

Unit cell a=14.2241 b=12.6536 c=7.7924 alpha=84.61 beta=62.33 gamma=33.05
Closest atoms and distances in Å follow each position.
Fractional coordinates of all 16 atoms:
Rb: 0.0547 0.0547 0.6953  8 Se 3.71-3.81
Rb: 0.3047 0.3047 0.9453  8 Se 3.71-3.81
Rb: 0.6953 0.6953 0.0547  8 Se 3.71-3.81
Rb: 0.9453 0.9453 0.3047  8 Se 3.71-3.81
Al: 0.1250 0.1250 0.1250  4 Se 2.41
Al: 0.8750 0.8750 0.8750  4 Se 2.41
V: 0.3750 0.3750 0.3750  4 Se 2.45
V: 0.6250 0.6250 0.6250  4 Se 2.45
Se: 0.0282 0.3285 0.4122  1 Al 2.41, 1 V 2.45
Se: 0.2689 0.5878 0.6715  1 Al 2.41, 1 V 2.45
Se: 0.3285 0.0282 0.7311  1 Al 2.41, 1 V 2.45
Se: 0.4122 0.7311 0.0282  1 Al 2.41, 1 V 2.45
Se: 0.5878 0.2689 0.9718  1 Al 2.41, 1 V 2.45
Se: 0.6715 0.9718 0.2689  1 Al 2.41, 1 V 2.45
Se: 0.7311 0.4122 0.3285  1 Al 2.41, 1 V 2.45
Se: 0.9718 0.6715 0.5878  1 Al 2.41, 1 V 2.45

Results
Size of the total moment = 2.00 μB/f.u.
Calculated total energy = -0.3373 Ry/atom

***

[5]
Below is a geometry-optimized Rb3Y3AlSe8 structure, with properties calculated at the PBE level.

Unit cell a=9.5112 b=9.5112 c=9.5112 alpha=50.95 beta=50.95 gamma=50.95
Closest atoms and distances in Å follow each position.
Fractional coordinates of all 15 atoms:
Rb: 0.0000 0.5000 0.5000  6 Se 3.44-3.47
Rb: 0.5000 0.0000 0.5000  6 Se 3.44-3.47
Rb: 0.5000 0.5000 0.0000  6 Se 3.44-3.47
Y: 0.0000 0.0000 0.5000  6 Se 2.87-2.88
Y: 0.0000 0.5000 0.0000  6 Se 2.87-2.88
Y: 0.5000 0.0000 0.0000  6 Se 2.87-2.88
Al: 0.5000 0.5000 0.5000  6 Se 2.66
Se: 0.2325 0.2325 0.2325  3 Y 2.87
Se: 0.2525 0.7154 0.7154  1 Al 2.66, 2 Y 2.88
Se: 0.2846 0.2846 0.7475  1 Al 2.66, 2 Y 2.88
Se: 0.2846 0.7475 0.2846  1 Al 2.66, 2 Y 2.88
Se: 0.7154 0.2525 0.7154  1 Al 2.66, 2 Y 2.88
Se: 0.7154 0.7154 0.2525  1 Al 2.66, 2 Y 2.88
Se: 0.7475 0.2846 0.2846  1 Al 2.66, 2 Y 2.88
Se: 0.7675 0.7675 0.7675  3 Y 2.87

Results
Size of the total moment = 0.00 μB/f.u.
Calculated total energy = -0.3711 Ry/atom

***

[6]
Below is a geometry-optimized RbAlSi structure, with properties calculated at the PBE level.

Unit cell a=9.1723 b=9.1723 c=9.1723 alpha=98.69 beta=98.69 gamma=134.25
Closest atoms and distances in Å follow each position.
Fractional coordinates of all 12 atoms:
Rb: 0.0000 0.2963 0.2963  4 Si 3.57-3.61
Rb: 0.0000 0.7037 0.7037  4 Si 3.57-3.61
Rb: 0.2963 0.0000 0.2963  4 Si 3.57-3.61
Rb: 0.7037 0.0000 0.7037  4 Si 3.57-3.61
Al: 0.3791 0.3791 0.7583  2 Si 2.36
Al: 0.3791 0.6209 0.0000  2 Si 2.36
Al: 0.6209 0.3791 0.0000  2 Si 2.36
Al: 0.6209 0.6209 0.2417  2 Si 2.36
Si: 0.2227 0.5000 0.7227  2 Al 2.36
Si: 0.5000 0.2227 0.7227  2 Al 2.36
Si: 0.5000 0.7773 0.2773  2 Al 2.36
Si: 0.7773 0.5000 0.2773  2 Al 2.36

Results
Size of the total moment = 0.08 μB/f.u.
Calculated total energy = -0.2289 Ry/atom

***

[7]
Below is a geometry-optimized RbAl3Si structure, with properties calculated at the PBE level.

Unit cell a=5.1581 b=5.1581 c=5.1581 alpha=90.00 beta=90.00 gamma=90.00
Closest atoms and distances in Å follow each position.
Fractional coordinates of all 5 atoms:
Rb: 0.0000 0.0000 0.0000  12 Al 3.65
Al: 0.0000 0.5000 0.5000  2 Si 2.58
Al: 0.5000 0.0000 0.5000  2 Si 2.58
Al: 0.5000 0.5000 0.0000  2 Si 2.58
Si: 0.5000 0.5000 0.5000  6 Al 2.58

Results
Energy above the lowest structure with this stoichiometry = 0 kJ/mol of formula units
Size of the total moment = 0.00 μB/f.u.
Calculated total energy = -0.2183 Ry/atom

***

[8]
Below is a geometry-optimized RbAlSi structure, with properties calculated at the PBE level.

Unit cell a=4.2348 b=7.2600 c=7.2600 alpha=118.29 beta=90.00 gamma=90.00
Closest atoms and distances in Å follow each position.
Fractional coordinates of all 6 atoms:
Rb: 0.0000 0.0000 0.0000  2 Al 3.52, 2 Si 3.53, 2 Rb 3.72
Rb: 0.0000 0.5000 0.5000  2 Al 3.52, 2 Si 3.53, 2 Rb 3.72
Al: 0.2652 0.4095 0.9095  3 Si 2.42-2.50
Al: 0.7348 0.9095 0.4095  3 Si 2.42-2.50
Si: 0.2420 0.0745 0.5745  3 Al 2.42-2.50
Si: 0.7580 0.5745 0.0745  3 Al 2.42-2.50

Results
Size of the total moment = 0.00 μB/f.u.
Calculated total energy = -0.2412 Ry/atom